*A*
MgPt4Rh | PBE-GGA | relaxed

## Properties
- calculated volume (Å³ per cell) = 190
- N(E_F) (states/eV per cell) = 15.4

a = 4.3488 Å, b = 9.3916 Å, c = 7.9770 Å
α = 135.62°, β = 123.01°, γ = 62.46°
Closest atoms and distances in Å follow each position.
Sites, in units of the cell vectors:
1 Pt 0.6482 0.7462 0.1450  7 Pt 2.65-2.89, 1 Rh 2.72, 3 Mg 2.81-2.93
2 Pt 0.7566 0.3359 0.3420  5 Pt 2.69-2.88, 3 Rh 2.78-2.87, 1 Mg 2.79
3 Pt 0.0854 0.0061 0.3420  5 Pt 2.69-2.88, 3 Rh 2.78-2.87, 1 Mg 2.79
4 Pt 0.3518 0.2538 0.8550  7 Pt 2.65-2.89, 1 Rh 2.72, 3 Mg 2.81-2.93
5 Pt 0.9146 0.9939 0.6580  5 Pt 2.69-2.88, 3 Rh 2.78-2.87, 1 Mg 2.79
6 Pt 0.9968 0.3988 0.1450  7 Pt 2.65-2.89, 1 Rh 2.72, 3 Mg 2.81-2.93
7 Pt 0.0032 0.6012 0.8550  7 Pt 2.65-2.89, 1 Rh 2.72, 3 Mg 2.81-2.93
8 Pt 0.2434 0.6641 0.6580  5 Pt 2.69-2.88, 3 Rh 2.78-2.87, 1 Mg 2.79
9 Mg 0.4210 0.6710 0.3421  1 Rh 2.71, 8 Pt 2.79-2.93
10 Mg 0.5790 0.3290 0.6579  1 Rh 2.71, 8 Pt 2.79-2.93
11 Rh 0.3199 0.0699 0.1398  2 Rh 2.62, 1 Mg 2.71, 8 Pt 2.72-2.87
12 Rh 0.6801 0.9301 0.8602  2 Rh 2.62, 1 Mg 2.71, 8 Pt 2.72-2.87

---

*B*
MgPt4Rh | PBE-GGA | relaxed

## Properties
- calculated volume (Å³ per cell) = 102
- N(E_F) (states/eV per cell) = 5.5

a = 5.2466 Å, b = 5.2466 Å, c = 5.2466 Å
α = 60.00°, β = 60.00°, γ = 60.00°
Closest atoms and distances in Å follow each position.
Sites, in units of the cell vectors:
1 Mg 0.0000 0.0000 0.0000  12 Pt 3.08, 4 Rh 3.21
2 Rh 0.7500 0.7500 0.7500  12 Pt 3.08, 4 Mg 3.21
3 Pt 0.3752 0.3752 0.3752  6 Pt 2.62-2.63
4 Pt 0.8745 0.3752 0.3752  6 Pt 2.62-2.63
5 Pt 0.3752 0.8745 0.3752  6 Pt 2.62-2.63
6 Pt 0.3752 0.3752 0.8745  6 Pt 2.62-2.63

---

*A* takes first place; second place is 136 meV/atom up.

---

*A*
MgSnRuPt | PBE-GGA | relaxed

## Properties
- calculated volume (Å³ per cell) = 66
- N(E_F) (states/eV per cell) = 1.6

a = 3.4407 Å, b = 4.2969 Å, c = 4.4446 Å
α = 90.00°, β = 90.00°, γ = 90.00°
Closest atoms and distances in Å follow each position.
Sites, in units of the cell vectors:
1 Ru 0.0000 0.5000 0.5000  4 Sn 2.75, 4 Mg 2.81
2 Mg 0.5000 0.5000 0.0000  4 Pt 2.75, 4 Ru 2.81
3 Sn 0.5000 0.0000 0.5000  4 Ru 2.75, 4 Pt 2.81
4 Pt 0.0000 0.0000 0.0000  4 Mg 2.75, 4 Sn 2.81

---

*B*
MgSnRuPt | PBE-GGA | relaxed

## Properties
- calculated volume (Å³ per cell) = 65
- N(E_F) (states/eV per cell) = 1.3

a = 4.5206 Å, b = 4.5206 Å, c = 4.5206 Å
α = 60.00°, β = 60.00°, γ = 60.00°
Closest atoms and distances in Å follow each position.
Sites, in units of the cell vectors:
1 Ru 0.0000 0.0000 0.0000  4 Mg 2.77, 4 Sn 2.77
2 Mg 0.2500 0.2500 0.2500  4 Pt 2.77, 4 Ru 2.77
3 Sn 0.7500 0.7500 0.7500  4 Ru 2.77, 4 Pt 2.77
4 Pt 0.5000 0.5000 0.5000  4 Sn 2.77, 4 Mg 2.77

---

*A* takes first place; second place is 28 meV/atom up.